This record from Alexandria via LeMat-Bulk describes a relaxed structure of Mn3RhC. The functional is GGA-PBE.

Cell and atoms, written as POSCAR:
```
Mn3RhC
1.0
3.776 0.000 0.000
0.000 3.776 0.000
0.000 0.000 3.776
Mn Rh C
3 1 1
direct
0.000 0.000 0.500 Mn
0.000 0.500 0.000 Mn
0.500 0.000 0.000 Mn
0.500 0.500 0.500 Rh
0.000 0.000 0.000 C
```

- E: -8.74 eV per atom
- E_form: 0.08 eV per atom
- Calculated density: 8.6 g cm⁻³

This record from Alexandria via LeMat-Bulk describes a relaxed structure of MnSbRhC2. The functional is GGA-PBE.

Cell and atoms, written as POSCAR:
```
MnSbRhC2
1.0
3.669 0.000 0.000
0.000 3.669 0.000
0.000 0.000 5.533
Mn Sb Rh C
1 1 1 2
direct
0.000 0.000 0.000 Mn
0.500 0.500 0.500 Sb
0.000 0.000 0.500 Rh
0.000 0.500 0.000 C
0.500 0.000 0.000 C
```

- E: -6.65 eV per atom
- ΔE_f (raw): 5.9 eV/f.u.
- Calculated density: 6.8 g cm⁻³